# SmHoMg6 GGA-PBE optimized geometry
data_SmHoMg6
_symmetry_space_group_name_H-M 'P 1'
_symmetry_Int_Tables_number 1
_cell_length_a 5.180
_cell_length_b 7.362
_cell_length_c 5.180
_cell_angle_alpha 90.00
_cell_angle_beta 90.00
_cell_angle_gamma 90.00
loop_
_symmetry_equiv_pos_as_xyz
'x,y,z'
loop_
_atom_site_label
_atom_site_fract_x
_atom_site_fract_y
_atom_site_fract_z
Sm1 0.000 0.000 0.000
Ho1 0.500 0.500 0.492
Mg1 0.000 0.255 0.501
Mg2 0.000 0.500 0.000
Mg3 0.000 0.745 0.501
Mg4 0.500 0.000 0.494
Mg5 0.500 0.255 0.992
Mg6 0.500 0.745 0.992
# symmetry: Pmm2

=====

# YEr2Mg3Ir2Pt GGA-PBE optimized geometry
data_YEr2Mg3Ir2Pt
_symmetry_space_group_name_H-M 'P 1'
_symmetry_Int_Tables_number 1
_cell_length_a 4.024
_cell_length_b 7.311
_cell_length_c 7.311
_cell_angle_alpha 120.17
_cell_angle_beta 90.00
_cell_angle_gamma 90.00
loop_
_symmetry_equiv_pos_as_xyz
'x,y,z'
loop_
_atom_site_label
_atom_site_fract_x
_atom_site_fract_y
_atom_site_fract_z
Y1 0.000 0.000 0.000
Er1 0.000 0.175 0.587
Er2 0.000 0.587 0.175
Mg1 0.500 0.338 0.338
Mg2 0.500 0.587 0.835
Mg3 0.500 0.835 0.587
Ir1 0.500 0.256 0.919
Ir2 0.500 0.919 0.256
Pt1 0.000 0.584 0.584
# symmetry: Amm2

=====

# LaIn2Ag2 GGA-PBE optimized geometry
data_LaIn2Ag2
_symmetry_space_group_name_H-M 'P 1'
_symmetry_Int_Tables_number 1
_cell_length_a 4.620
_cell_length_b 4.620
_cell_length_c 11.493
_cell_angle_alpha 90.00
_cell_angle_beta 90.00
_cell_angle_gamma 90.00
loop_
_symmetry_equiv_pos_as_xyz
'x,y,z'
loop_
_atom_site_label
_atom_site_fract_x
_atom_site_fract_y
_atom_site_fract_z
La1 0.250 0.250 0.246
La2 0.750 0.750 0.754
In1 0.250 0.250 0.868
In2 0.250 0.750 0.500
In3 0.750 0.250 0.500
In4 0.750 0.750 0.132
Ag1 0.250 0.250 0.638
Ag2 0.250 0.750 0.000
Ag3 0.750 0.250 0.000
Ag4 0.750 0.750 0.362
# symmetry: P4/nmm

=====

# ZrBeTcSb GGA-PBE optimized geometry
data_ZrBeTcSb
_symmetry_space_group_name_H-M 'P 1'
_symmetry_Int_Tables_number 1
_cell_length_a 4.584
_cell_length_b 4.584
_cell_length_c 4.584
_cell_angle_alpha 60.00
_cell_angle_beta 60.00
_cell_angle_gamma 60.00
loop_
_symmetry_equiv_pos_as_xyz
'x,y,z'
loop_
_atom_site_label
_atom_site_fract_x
_atom_site_fract_y
_atom_site_fract_z
Zr1 0.000 0.000 0.000
Be1 0.500 0.500 0.500
Tc1 0.750 0.750 0.750
Sb1 0.250 0.250 0.250
# relative energy among the computed polymorphs: 249 meV/atom
# symmetry: F-43m

=====

# YAlIr GGA-PBE optimized geometry
data_YAlIr
_symmetry_space_group_name_H-M 'P 1'
_symmetry_Int_Tables_number 1
_cell_length_a 4.637
_cell_length_b 4.637
_cell_length_c 4.637
_cell_angle_alpha 60.00
_cell_angle_beta 60.00
_cell_angle_gamma 60.00
loop_
_symmetry_equiv_pos_as_xyz
'x,y,z'
loop_
_atom_site_label
_atom_site_fract_x
_atom_site_fract_y
_atom_site_fract_z
Y1 0.000 0.000 0.000
Al1 0.750 0.750 0.750
Ir1 0.250 0.250 0.250
# symmetry: F-43m

=====

# CuOsPtPb GGA-PBE optimized geometry
data_CuOsPtPb
_symmetry_space_group_name_H-M 'P 1'
_symmetry_Int_Tables_number 1
_cell_length_a 4.549
_cell_length_b 4.549
_cell_length_c 4.549
_cell_angle_alpha 60.00
_cell_angle_beta 60.00
_cell_angle_gamma 60.00
loop_
_symmetry_equiv_pos_as_xyz
'x,y,z'
loop_
_atom_site_label
_atom_site_fract_x
_atom_site_fract_y
_atom_site_fract_z
Cu1 0.000 0.000 0.000
Os1 0.500 0.500 0.500
Pt1 0.250 0.250 0.250
Pb1 0.750 0.750 0.750
# relative energy among the computed polymorphs: 0 meV/atom
# symmetry: F-43m

=====

# DyZn2GePd4 GGA-PBE optimized geometry
data_DyZn2GePd4
_symmetry_space_group_name_H-M 'P 1'
_symmetry_Int_Tables_number 1
_cell_length_a 4.456
_cell_length_b 4.456
_cell_length_c 6.679
_cell_angle_alpha 90.00
_cell_angle_beta 90.00
_cell_angle_gamma 90.00
loop_
_symmetry_equiv_pos_as_xyz
'x,y,z'
loop_
_atom_site_label
_atom_site_fract_x
_atom_site_fract_y
_atom_site_fract_z
Dy1 0.000 0.000 0.000
Zn1 0.000 0.000 0.500
Zn2 0.500 0.500 0.000
Ge1 0.500 0.500 0.500
Pd1 0.000 0.500 0.278
Pd2 0.000 0.500 0.722
Pd3 0.500 0.000 0.278
Pd4 0.500 0.000 0.722
# symmetry: P4/mmm

=====

# TbHoSi2Ir GGA-PBE optimized geometry
data_TbHoSi2Ir
_symmetry_space_group_name_H-M 'P 1'
_symmetry_Int_Tables_number 1
_cell_length_a 5.624
_cell_length_b 5.624
_cell_length_c 10.125
_cell_angle_alpha 115.38
_cell_angle_beta 115.38
_cell_angle_gamma 44.40
loop_
_symmetry_equiv_pos_as_xyz
'x,y,z'
loop_
_atom_site_label
_atom_site_fract_x
_atom_site_fract_y
_atom_site_fract_z
Tb1 0.191 0.191 0.114
Tb2 0.809 0.809 0.886
Ho1 0.006 0.006 0.328
Ho2 0.994 0.994 0.672
Si1 0.356 0.356 0.445
Si2 0.489 0.489 0.117
Si3 0.511 0.511 0.883
Si4 0.644 0.644 0.555
Ir1 0.270 0.270 0.655
Ir2 0.730 0.730 0.345
# symmetry: C2/m

=====

# Li2LaLuIn2Ag2 GGA-PBE optimized geometry
data_Li2LaLuIn2Ag2
_symmetry_space_group_name_H-M 'P 1'
_symmetry_Int_Tables_number 1
_cell_length_a 4.939
_cell_length_b 4.939
_cell_length_c 6.989
_cell_angle_alpha 90.00
_cell_angle_beta 90.00
_cell_angle_gamma 90.00
loop_
_symmetry_equiv_pos_as_xyz
'x,y,z'
loop_
_atom_site_label
_atom_site_fract_x
_atom_site_fract_y
_atom_site_fract_z
Li1 0.000 0.500 0.239
Li2 0.500 0.000 0.761
La1 0.000 0.000 0.500
Lu1 0.500 0.500 0.000
In1 0.000 0.000 0.000
In2 0.500 0.500 0.500
Ag1 0.000 0.500 0.769
Ag2 0.500 0.000 0.231
# symmetry: P-4m2

=====

# PrNp2N3 GGA-PBE optimized geometry
data_PrNp2N3
_symmetry_space_group_name_H-M 'P 1'
_symmetry_Int_Tables_number 1
_cell_length_a 3.503
_cell_length_b 3.503
_cell_length_c 8.622
_cell_angle_alpha 90.00
_cell_angle_beta 90.00
_cell_angle_gamma 120.00
loop_
_symmetry_equiv_pos_as_xyz
'x,y,z'
loop_
_atom_site_label
_atom_site_fract_x
_atom_site_fract_y
_atom_site_fract_z
Pr1 0.000 0.000 0.000
Np1 0.333 0.667 0.339
Np2 0.667 0.333 0.661
N1 0.000 0.000 0.500
N2 0.333 0.667 0.804
N3 0.667 0.333 0.196
# symmetry: P-3m1

=====

# DyTm2In3Pt2Au GGA-PBE optimized geometry
data_DyTm2In3Pt2Au
_symmetry_space_group_name_H-M 'P 1'
_symmetry_Int_Tables_number 1
_cell_length_a 3.763
_cell_length_b 7.777
_cell_length_c 7.777
_cell_angle_alpha 120.14
_cell_angle_beta 90.00
_cell_angle_gamma 90.00
loop_
_symmetry_equiv_pos_as_xyz
'x,y,z'
loop_
_atom_site_label
_atom_site_fract_x
_atom_site_fract_y
_atom_site_fract_z
Dy1 0.000 0.000 0.000
Tm1 0.000 0.407 0.814
Tm2 0.000 0.814 0.407
In1 0.500 0.137 0.408
In2 0.500 0.408 0.137
In3 0.500 0.677 0.677
Pt1 0.500 0.074 0.738
Pt2 0.500 0.738 0.074
Au1 0.000 0.408 0.408
# symmetry: Amm2

=====

# GdErMg3Ni2 GGA-PBE optimized geometry
data_GdErMg3Ni2
_symmetry_space_group_name_H-M 'P 1'
_symmetry_Int_Tables_number 1
_cell_length_a 3.623
_cell_length_b 10.605
_cell_length_c 10.605
_cell_angle_alpha 21.57
_cell_angle_beta 90.00
_cell_angle_gamma 90.00
loop_
_symmetry_equiv_pos_as_xyz
'x,y,z'
loop_
_atom_site_label
_atom_site_fract_x
_atom_site_fract_y
_atom_site_fract_z
Gd1 0.000 0.000 0.000
Er1 0.000 0.647 0.647
Mg1 0.000 0.823 0.823
Mg2 0.500 0.243 0.243
Mg3 0.500 0.402 0.402
Ni1 0.500 0.111 0.111
Ni2 0.500 0.538 0.538
# symmetry: Amm2

=====

# PaSi2Tc2 GGA-PBE optimized geometry
data_PaSi2Tc2
_symmetry_space_group_name_H-M 'P 1'
_symmetry_Int_Tables_number 1
_cell_length_a 5.610
_cell_length_b 5.610
_cell_length_c 5.610
_cell_angle_alpha 134.72
_cell_angle_beta 134.72
_cell_angle_gamma 65.96
loop_
_symmetry_equiv_pos_as_xyz
'x,y,z'
loop_
_atom_site_label
_atom_site_fract_x
_atom_site_fract_y
_atom_site_fract_z
Pa1 0.000 0.000 0.000
Si1 0.250 0.750 0.500
Si2 0.750 0.250 0.500
Tc1 0.378 0.378 0.000
Tc2 0.622 0.622 0.000
# relative energy among the computed polymorphs: 259 meV/atom
# symmetry: I4/mmm

=====

# GdTm2Al3Si2Ir GGA-PBE optimized geometry
data_GdTm2Al3Si2Ir
_symmetry_space_group_name_H-M 'P 1'
_symmetry_Int_Tables_number 1
_cell_length_a 4.208
_cell_length_b 6.885
_cell_length_c 6.885
_cell_angle_alpha 120.20
_cell_angle_beta 90.00
_cell_angle_gamma 90.00
loop_
_symmetry_equiv_pos_as_xyz
'x,y,z'
loop_
_atom_site_label
_atom_site_fract_x
_atom_site_fract_y
_atom_site_fract_z
Gd1 0.000 0.000 0.000
Tm1 0.000 0.167 0.583
Tm2 0.000 0.583 0.167
Al1 0.500 0.349 0.349
Al2 0.500 0.581 0.816
Al3 0.500 0.816 0.581
Si1 0.500 0.252 0.914
Si2 0.500 0.914 0.252
Ir1 0.000 0.577 0.577
# symmetry: Amm2

=====

# ScTlFeOs GGA-PBE optimized geometry
data_ScTlFeOs
_symmetry_space_group_name_H-M 'P 1'
_symmetry_Int_Tables_number 1
_cell_length_a 4.603
_cell_length_b 4.603
_cell_length_c 4.603
_cell_angle_alpha 60.00
_cell_angle_beta 60.00
_cell_angle_gamma 60.00
loop_
_symmetry_equiv_pos_as_xyz
'x,y,z'
loop_
_atom_site_label
_atom_site_fract_x
_atom_site_fract_y
_atom_site_fract_z
Sc1 0.000 0.000 0.000
Tl1 0.250 0.250 0.250
Fe1 0.500 0.500 0.500
Os1 0.750 0.750 0.750
# relative energy among the computed polymorphs: 0 meV/atom
# symmetry: F-43m

=====

# Na4Cu2BiSb GGA-PBE optimized geometry
data_Na4Cu2BiSb
_symmetry_space_group_name_H-M 'P 1'
_symmetry_Int_Tables_number 1
_cell_length_a 5.570
_cell_length_b 6.056
_cell_length_c 6.056
_cell_angle_alpha 101.07
_cell_angle_beta 90.00
_cell_angle_gamma 90.00
loop_
_symmetry_equiv_pos_as_xyz
'x,y,z'
loop_
_atom_site_label
_atom_site_fract_x
_atom_site_fract_y
_atom_site_fract_z
Na1 0.000 0.175 0.825
Na2 0.000 0.825 0.175
Na3 0.500 0.512 0.869
Na4 0.500 0.869 0.512
Cu1 0.251 0.336 0.336
Cu2 0.749 0.336 0.336
Bi1 0.000 0.623 0.623
Sb1 0.500 0.062 0.062
# symmetry: Amm2

=====

# DyScTl GGA-PBE optimized geometry
data_DyScTl
_symmetry_space_group_name_H-M 'P 1'
_symmetry_Int_Tables_number 1
_cell_length_a 5.008
_cell_length_b 5.008
_cell_length_c 5.008
_cell_angle_alpha 60.00
_cell_angle_beta 60.00
_cell_angle_gamma 60.00
loop_
_symmetry_equiv_pos_as_xyz
'x,y,z'
loop_
_atom_site_label
_atom_site_fract_x
_atom_site_fract_y
_atom_site_fract_z
Dy1 0.000 0.000 0.000
Sc1 0.500 0.500 0.500
Tl1 0.250 0.250 0.250
# relative energy among the computed polymorphs: 0 meV/atom
# symmetry: F-43m

=====

# GdPtSeO GGA-PBE optimized geometry
data_GdPtSeO
_symmetry_space_group_name_H-M 'P 1'
_symmetry_Int_Tables_number 1
_cell_length_a 10.756
_cell_length_b 10.756
_cell_length_c 10.756
_cell_angle_alpha 21.91
_cell_angle_beta 21.91
_cell_angle_gamma 21.91
loop_
_symmetry_equiv_pos_as_xyz
'x,y,z'
loop_
_atom_site_label
_atom_site_fract_x
_atom_site_fract_y
_atom_site_fract_z
Gd1 0.211 0.211 0.211
Gd2 0.789 0.789 0.789
Pt1 0.044 0.044 0.044
Pt2 0.956 0.956 0.956
Se1 0.390 0.390 0.390
Se2 0.610 0.610 0.610
O1 0.141 0.141 0.141
O2 0.859 0.859 0.859
# relative energy among the computed polymorphs: 0 meV/atom
# symmetry: R-3m

=====

# LuCoTcB GGA-PBE optimized geometry
data_LuCoTcB
_symmetry_space_group_name_H-M 'P 1'
_symmetry_Int_Tables_number 1
_cell_length_a 4.321
_cell_length_b 4.321
_cell_length_c 4.321
_cell_angle_alpha 60.00
_cell_angle_beta 60.00
_cell_angle_gamma 60.00
loop_
_symmetry_equiv_pos_as_xyz
'x,y,z'
loop_
_atom_site_label
_atom_site_fract_x
_atom_site_fract_y
_atom_site_fract_z
Lu1 0.000 0.000 0.000
Co1 0.500 0.500 0.500
Tc1 0.750 0.750 0.750
B1 0.250 0.250 0.250
# relative energy among the computed polymorphs: 147 meV/atom
# symmetry: F-43m

=====

# Tl2FeSb GGA-PBE optimized geometry
data_Tl2FeSb
_symmetry_space_group_name_H-M 'P 1'
_symmetry_Int_Tables_number 1
_cell_length_a 5.103
_cell_length_b 5.103
_cell_length_c 5.103
_cell_angle_alpha 60.00
_cell_angle_beta 60.00
_cell_angle_gamma 60.00
loop_
_symmetry_equiv_pos_as_xyz
'x,y,z'
loop_
_atom_site_label
_atom_site_fract_x
_atom_site_fract_y
_atom_site_fract_z
Tl1 0.000 0.000 0.000
Tl2 0.250 0.250 0.250
Fe1 0.750 0.750 0.750
Sb1 0.500 0.500 0.500
# symmetry: F-43m

=====

no.,raw total energy (eV/atom)
1,-2.406
2,-5.682
3,-3.524
4,-6.472
5,-6.102
6,-5.636
7,-4.643
8,-6.747
9,-3.407
10,-10.456
11,-5.037
12,-3.857
13,-8.546
14,-5.811
15,-6.768
16,-2.858
17,-4.443
18,-6.507
19,-6.538
20,-3.736